First-principles (GGA-PBE) data for a geometry-optimized Tb5Er4Co2 structure, as listed in the Alexandria database.

Lattice parameters (Å, degrees): 3.511 8.795 9.827 93.25 90.00 90.00
Positions (direct):
Er  0.500  0.816  0.180
Er  0.500  0.817  0.533
Er  0.500  0.183  0.467
Er  0.500  0.184  0.820
Tb  0.000  0.849  0.854
Tb  0.000  0.151  0.146
Tb  0.000  0.478  0.665
Tb  0.000  0.522  0.335
Tb  0.000  0.500  0.000
Co  0.000  0.038  0.646
Co  0.000  0.962  0.354

Energy relative to the elements = -0.01 eV/atom
Space-group type = No. 10
Calculated volume = 27.54 A^3/atom